[1]
Tb4Tm | PBE | relaxed

a b c (Å): 4.4926 4.4924 8.8440
angles (deg): 104.70 104.70 89.99
Fractional coordinates of all 5 atoms:
Tm (0.5000, 0.0000, 0.5000)
Tb (0.0928, 0.5928, 0.6858)
Tb (0.2500, 0.2500, 0.0000)
Tb (0.7500, 0.7500, 0.0000)
Tb (0.9072, 0.4072, 0.3142)

electronic total energy = -4.22 eV/atom
DOS at the Fermi energy = 8.19 states/eV/cell
energy relative to the elements = 1.88 eV per formula unit
relative energy among the computed polymorphs = 358 meV per atom
total magnetization = 0.0 μB per cell

[2]
Tb6Tm | PBE | relaxed

a b c (Å): 6.4543 6.4543 11.0112
angles (deg): 90.00 90.00 90.00
Fractional coordinates of all 14 atoms:
Tb (0.1680, 0.6680, 0.6385)
Tb (0.0000, 0.0000, 0.1384)
Tb (0.8320, 0.3320, 0.6385)
Tb (0.8320, 0.6680, 0.3615)
Tb (0.5000, 0.5000, 0.8616)
Tb (0.1680, 0.3320, 0.3615)
Tb (0.6680, 0.1680, 0.3615)
Tb (0.0000, 0.0000, 0.8616)
Tb (0.5000, 0.5000, 0.1384)
Tb (0.3320, 0.8320, 0.3615)
Tb (0.6680, 0.8320, 0.6385)
Tb (0.3320, 0.1680, 0.6385)
Tm (0.0000, 0.5000, 0.0000)
Tm (0.5000, 0.0000, 0.0000)

electronic total energy = -4.34 eV/atom
DOS at the Fermi energy = 18.43 states/eV/cell
energy relative to the elements = 1.87 eV per formula unit
relative energy among the computed polymorphs = 0 meV per atom
total magnetization = 0.0 μB per cell

[3]
Tb3Tm5 | PBE | relaxed

a b c (Å): 3.5865 5.5639 12.4228
angles (deg): 90.00 90.00 90.00
Fractional coordinates of all 8 atoms:
Tm (0.0000, 0.0000, 0.9613)
Tm (0.5000, 0.5000, 0.0435)
Tm (0.0000, 0.5000, 0.2898)
Tm (0.0000, 0.0000, 0.4554)
Tm (0.5000, 0.0000, 0.2081)
Tb (0.0000, 0.5000, 0.7931)
Tb (0.5000, 0.0000, 0.7099)
Tb (0.5000, 0.5000, 0.5390)

electronic total energy = -4.53 eV/atom
DOS at the Fermi energy = 12.89 states/eV/cell
energy relative to the elements = 0.02 eV per formula unit
total magnetization = 0.0 μB per cell

[4]
TbTm6 | PBE | relaxed

a b c (Å): 6.9678 6.9678 6.9678
angles (deg): 109.47 109.47 109.47
Fractional coordinates of all 7 atoms:
Tm (0.7500, 0.5000, 0.2500)
Tm (0.7500, 0.2500, 0.5000)
Tm (0.5000, 0.7500, 0.2500)
Tm (0.2500, 0.7500, 0.5000)
Tm (0.5000, 0.2500, 0.7500)
Tm (0.2500, 0.5000, 0.7500)
Tb (0.0000, 0.0000, 0.0000)

electronic total energy = -2.93 eV/atom
DOS at the Fermi energy = 10.46 states/eV/cell
energy relative to the elements = 10.96 eV per formula unit
relative energy among the computed polymorphs = 1294 meV per atom
total magnetization = 0.0 μB per cell

[5]
TbTm5 | PBE | relaxed

a b c (Å): 3.4482 5.9915 9.4310
angles (deg): 89.99 90.00 106.72
Fractional coordinates of all 6 atoms:
Tm (0.3279, 0.6558, 0.2124)
Tm (0.3276, 0.6552, 0.5654)
Tm (0.0607, 0.1213, 0.7093)
Tm (0.0610, 0.1220, 0.0686)
Tm (0.6048, 0.2096, 0.3889)
Tb (0.7847, 0.5695, 0.8889)

electronic total energy = -4.37 eV/atom
DOS at the Fermi energy = 10.97 states/eV/cell
energy relative to the elements = 0.75 eV per formula unit
relative energy among the computed polymorphs = 100 meV per atom
total magnetization = 0.0 μB per cell

[6]
Tb3Tm | PBE | relaxed

a b c (Å): 6.1275 6.1275 6.1275
angles (deg): 131.91 131.91 70.38
Fractional coordinates of all 4 atoms:
Tb (0.7500, 0.2500, 0.5000)
Tb (0.2500, 0.7500, 0.5000)
Tb (0.5000, 0.5000, 0.0000)
Tm (0.0000, 0.0000, 0.0000)

electronic total energy = -4.57 eV/atom
DOS at the Fermi energy = 5.15 states/eV/cell
energy relative to the elements = 0.07 eV per formula unit
relative energy among the computed polymorphs = 7 meV per atom
total magnetization = 0.0 μB per cell

[7]
TbTm | PBE | relaxed

a b c (Å): 3.9674 3.9674 3.9674
angles (deg): 90.00 90.00 90.00
Fractional coordinates of all 2 atoms:
Tm (0.5000, 0.5000, 0.5000)
Tb (0.0000, 0.0000, 0.0000)

electronic total energy = -4.43 eV/atom
DOS at the Fermi energy = 3.52 states/eV/cell
energy relative to the elements = 0.25 eV per formula unit
relative energy among the computed polymorphs = 105 meV per atom
total magnetization = 0.0 μB per cell

[8]
Tb5Tm3 | PBE | relaxed

a b c (Å): 3.6052 5.5999 12.4878
angles (deg): 90.00 90.00 90.00
Fractional coordinates of all 8 atoms:
Tb (0.5000, 0.5000, 0.0390)
Tb (0.0000, 0.5000, 0.2929)
Tb (0.0000, 0.0000, 0.9560)
Tb (0.0000, 0.0000, 0.4614)
Tb (0.5000, 0.0000, 0.2092)
Tm (0.5000, 0.0000, 0.7079)
Tm (0.5000, 0.5000, 0.5440)
Tm (0.0000, 0.5000, 0.7896)

electronic total energy = -4.56 eV/atom
DOS at the Fermi energy = 12.89 states/eV/cell
energy relative to the elements = 0.06 eV per formula unit
total magnetization = 0.0 μB per cell

[9]
Tb7Tm2 | PBE | relaxed

a b c (Å): 6.1257 6.1257 8.6582
angles (deg): 90.00 90.00 120.00
Fractional coordinates of all 9 atoms:
Tb (0.6662, 0.6662, 0.6681)
Tb (0.0000, 0.0000, 0.0000)
Tb (0.0000, 0.6662, 0.3319)
Tb (0.0000, 0.3338, 0.6681)
Tb (0.6662, 0.0000, 0.3319)
Tb (0.3338, 0.0000, 0.6681)
Tb (0.3338, 0.3338, 0.3319)
Tm (0.3333, 0.6667, 0.0000)
Tm (0.6667, 0.3333, 0.0000)

electronic total energy = -4.57 eV/atom
DOS at the Fermi energy = 12.60 states/eV/cell
energy relative to the elements = 0.18 eV per formula unit
relative energy among the computed polymorphs = 0 meV per atom
total magnetization = 0.0 μB per cell

[10]
TbTm | PBE | relaxed

a b c (Å): 3.4994 5.4749 6.7011
angles (deg): 90.01 105.14 90.00
Fractional coordinates of all 4 atoms:
Tm (0.1750, 0.2501, 0.3500)
Tm (0.8250, 0.7499, 0.6500)
Tb (0.4355, 0.2499, 0.8709)
Tb (0.5645, 0.7501, 0.1291)

electronic total energy = -4.50 eV/atom
DOS at the Fermi energy = 7.68 states/eV/cell
energy relative to the elements = 0.10 eV per formula unit
relative energy among the computed polymorphs = 32 meV per atom
total magnetization = 0.0 μB per cell

[11]
Tb4Tm5 | PBE | relaxed

a b c (Å): 3.5886 8.9757 8.9757
angles (deg): 91.96 78.47 78.47
Fractional coordinates of all 9 atoms:
Tm (0.0000, 0.2923, 0.7077)
Tm (0.0000, 0.0410, 0.9590)
Tm (0.2941, 0.3722, 0.0389)
Tm (0.0000, 0.6667, 0.3333)
Tm (0.7059, 0.9611, 0.6278)
Tb (0.3566, 0.9997, 0.2879)
Tb (0.3566, 0.6212, 0.6664)
Tb (0.6434, 0.7121, 0.0003)
Tb (0.6434, 0.3336, 0.3788)

electronic total energy = -4.50 eV/atom
DOS at the Fermi energy = 12.55 states/eV/cell
energy relative to the elements = 0.34 eV per formula unit
relative energy among the computed polymorphs = 16 meV per atom
total magnetization = 0.0 μB per cell

[12]
Tb5Tm6 | PBE | relaxed

a b c (Å): 5.4536 9.2685 9.2685
angles (deg): 116.96 107.11 107.11
Fractional coordinates of all 11 atoms:
Tm (0.7932, 0.6553, 0.9311)
Tm (0.2068, 0.3447, 0.0689)
Tm (0.2068, 0.0689, 0.3447)
Tm (0.2939, 0.7938, 0.7938)
Tm (0.7061, 0.2062, 0.2062)
Tm (0.7932, 0.9311, 0.6553)
Tb (0.5000, 0.8000, 0.2000)
Tb (0.0000, 0.3382, 0.6618)
Tb (0.5000, 0.2000, 0.8000)
Tb (0.0000, 0.6618, 0.3382)
Tb (0.5000, 0.5000, 0.5000)

electronic total energy = -4.43 eV/atom
DOS at the Fermi energy = 16.10 states/eV/cell
energy relative to the elements = 1.30 eV per formula unit
relative energy among the computed polymorphs = 0 meV per atom
total magnetization = 0.0 μB per cell

[13]
TbTm3 | PBE | relaxed

a b c (Å): 4.9487 4.9487 6.0590
angles (deg): 114.10 114.10 90.00
Fractional coordinates of all 4 atoms:
Tb (0.0000, 0.0000, 0.0000)
Tm (0.5000, 0.5000, 0.0000)
Tm (0.7500, 0.2500, 0.5000)
Tm (0.2500, 0.7500, 0.5000)

electronic total energy = -4.49 eV/atom
DOS at the Fermi energy = 5.84 states/eV/cell
energy relative to the elements = 0.10 eV per formula unit
relative energy among the computed polymorphs = 26 meV per atom
total magnetization = 0.0 μB per cell

[14]
TbTm2U | PBE | relaxed

a b c (Å): 3.2653 3.2653 12.2457
angles (deg): 82.34 82.34 60.00
Each line ends with the local moment (μB).
Fractional coordinates of all 4 atoms:
U (0.0000, 0.0000, 0.0000)  2.00
Tm (0.9127, 0.9127, 0.2619)  -0.08
Tm (0.0873, 0.0873, 0.7381)  -0.08
Tb (0.5000, 0.5000, 0.5000)  0.01

electronic total energy = -5.79 eV/atom
DOS at the Fermi energy = 7.55 states/eV/cell
energy relative to the elements = 1.72 eV per formula unit
total magnetization = 2.0 μB per cell

[15]
TbTm2V | PBE | relaxed

a b c (Å): 3.5520 3.5520 8.5017
angles (deg): 90.00 90.00 90.00
Each line ends with the local moment (μB).
Fractional coordinates of all 4 atoms:
V (0.5000, 0.5000, 0.0000)  2.27
Tb (0.5000, 0.5000, 0.5000)  0.06
Tm (0.0000, 0.0000, 0.1995)  0.21
Tm (0.0000, 0.0000, 0.8005)  0.21

electronic total energy = -5.48 eV/atom
DOS at the Fermi energy = 4.32 states/eV/cell
energy relative to the elements = 0.77 eV per formula unit
relative energy among the computed polymorphs = 0 meV per atom
total magnetization = 3.1 μB per cell

[16]
TbTmV4 | PBE | relaxed

a b c (Å): 5.3666 5.3666 5.3666
angles (deg): 60.00 60.00 60.00
Fractional coordinates of all 6 atoms:
Tb (0.0000, 0.0000, 0.0000)
Tm (0.2500, 0.2500, 0.2500)
V (0.1327, 0.6224, 0.6224)
V (0.6224, 0.1327, 0.6224)
V (0.6224, 0.6224, 0.6224)
V (0.6224, 0.6224, 0.1327)

electronic total energy = -7.24 eV/atom
DOS at the Fermi energy = 15.26 states/eV/cell
energy relative to the elements = 2.12 eV per formula unit
total magnetization = 0.0 μB per cell

[17]
TbTm2V | PBE | relaxed

a b c (Å): 3.3391 3.3391 11.4948
angles (deg): 81.65 81.65 60.00
Each line ends with the local moment (μB).
Fractional coordinates of all 4 atoms:
Tm (0.0820, 0.0820, 0.7541)  0.05
Tm (0.9180, 0.9180, 0.2459)  0.05
Tb (0.5000, 0.5000, 0.5000)  -0.02
V (0.0000, 0.0000, 0.0000)  2.56

electronic total energy = -5.08 eV/atom
DOS at the Fermi energy = 6.40 states/eV/cell
energy relative to the elements = 2.38 eV per formula unit
relative energy among the computed polymorphs = 403 meV per atom
total magnetization = 3.0 μB per cell

[18]
TbTmV | PBE | relaxed

a b c (Å): 3.5907 3.5903 12.5785
angles (deg): 106.66 90.00 90.00
Each line ends with the local moment (μB).
Fractional coordinates of all 6 atoms:
V (0.2500, 0.9954, 0.7450)  2.23
V (0.7500, 0.0046, 0.2550)  2.23
Tb (0.2500, 0.3608, 0.1114)  0.09
Tb (0.7500, 0.6392, 0.8886)  0.09
Tm (0.2500, 0.6436, 0.3935)  0.14
Tm (0.7500, 0.3564, 0.6065)  0.14

electronic total energy = -5.83 eV/atom
DOS at the Fermi energy = 4.23 states/eV/cell
energy relative to the elements = 0.72 eV per formula unit
total magnetization = 5.6 μB per cell

[19]
TbY3Tm2 | PBE | relaxed

a b c (Å): 3.4865 10.1608 11.6423
angles (deg): 108.13 98.61 90.00
Fractional coordinates of all 12 atoms:
Tm (0.0714, 0.1371, 0.1428)
Tm (0.3069, 0.6270, 0.6138)
Tm (0.6931, 0.3730, 0.3862)
Tm (0.9286, 0.8629, 0.8572)
Y (0.4407, 0.5612, 0.8814)
Y (0.5593, 0.4388, 0.1186)
Y (0.6957, 0.7142, 0.3914)
Y (0.9308, 0.2289, 0.8616)
Y (0.0692, 0.7711, 0.1384)
Y (0.3043, 0.2858, 0.6086)
Tb (0.6871, 0.0412, 0.3742)
Tb (0.3129, 0.9588, 0.6258)

electronic total energy = -5.37 eV/atom
DOS at the Fermi energy = 20.98 states/eV/cell
energy relative to the elements = 0.75 eV per formula unit
relative energy among the computed polymorphs = 98 meV per atom
total magnetization = 0.0 μB per cell

[20]
Tb2Y3Tm5 | PBE | relaxed

a b c (Å): 9.4535 9.4181 11.0394
angles (deg): 125.87 125.94 68.14
Fractional coordinates of all 20 atoms:
Tm (0.5244, 0.2744, 0.5489)
Tm (0.7305, 0.4805, 0.9609)
Tm (0.6462, 0.8941, 0.2713)
Tm (0.9708, 0.2208, 0.4417)
Tm (0.8750, 0.6228, 0.7287)
Tm (0.4756, 0.7256, 0.4511)
Tm (0.2695, 0.5195, 0.0391)
Tm (0.0292, 0.7792, 0.5583)
Tm (0.3538, 0.1059, 0.7287)
Tm (0.1250, 0.3772, 0.2713)
Y (0.9659, 0.2275, 0.7405)
Y (0.0341, 0.7725, 0.2595)
Y (0.7254, 0.4871, 0.2595)
Y (0.2309, 0.9809, 0.9618)
Y (0.7691, 0.0191, 0.0382)
Y (0.2746, 0.5129, 0.7405)
Tb (0.4771, 0.7172, 0.7433)
Tb (0.7662, 0.0260, 0.7433)
Tb (0.5229, 0.2828, 0.2567)
Tb (0.2338, 0.9740, 0.2567)

electronic total energy = -4.90 eV/atom
DOS at the Fermi energy = 34.74 states/eV/cell
energy relative to the elements = 2.02 eV per formula unit
relative energy among the computed polymorphs = 0 meV per atom
total magnetization = 0.0 μB per cell